(1)
Material: PrSn2Br8
Method: DFT, PBE
State: relaxed

Calculated values
Magnetic moment: 0.0000 μB/atom

abc: 8.0805 8.0484 8.0484
angles: 70.63 73.68 73.68
Closest atoms and distances in Å follow each position.
Sites, in units of the cell vectors:
Br  0.2429  0.6474  0.0360  1 Sn 2.87, 1 Pr 2.94
Br  0.2466  0.1202  0.1202  1 Sn 2.84, 1 Pr 2.94
Br  0.7571  0.3526  0.9640  1 Sn 2.87, 1 Pr 2.94
Br  0.7534  0.8798  0.8798  1 Sn 2.84, 1 Pr 2.94
Br  0.2429  0.0360  0.6474  1 Sn 2.87, 1 Pr 2.94
Br  0.7571  0.9640  0.3526  1 Sn 2.87, 1 Pr 2.94
Br  0.8383  0.4185  0.4185  1 Sn 2.67
Br  0.1617  0.5815  0.5815  1 Sn 2.67
Pr  0.0000  0.0000  0.0000  6 Br 2.94
Sn  0.1903  0.3459  0.3459  4 Br 2.67-2.87
Sn  0.8097  0.6541  0.6541  4 Br 2.67-2.87



(2)
Material: PrSn2Br8
Method: DFT, PBE
State: relaxed

Calculated values
Magnetic moment: 0.0000 μB/atom

abc: 8.2264 8.1280 8.1280
angles: 72.60 73.90 73.90
Closest atoms and distances in Å follow each position.
Sites, in units of the cell vectors:
Br  0.6935  0.1965  0.1965  1 Pr 2.92, 1 Sn 2.94
Br  0.1856  0.8776  0.2929  1 Sn 2.78, 1 Pr 2.96
Br  0.1856  0.2929  0.8776  1 Sn 2.78, 1 Pr 2.96
Br  0.7936  0.6611  0.6611  1 Sn 2.55
Br  0.8144  0.1224  0.7071  1 Sn 2.78, 1 Pr 2.96
Br  0.3065  0.8035  0.8035  1 Pr 2.92, 1 Sn 2.94
Br  0.8144  0.7071  0.1224  1 Sn 2.78, 1 Pr 2.96
Br  0.2064  0.3389  0.3389  1 Sn 2.55
Pr  0.0000  0.0000  0.0000  6 Br 2.92-2.96
Sn  0.6194  0.8643  0.8643  3 Br 2.55-2.78
Sn  0.3806  0.1357  0.1357  3 Br 2.55-2.78



Compare the structures above. Which one is the least stable? (2) is.